Below is crystalline Dy2Fe12P7 at its relaxed geometry, with properties calculated at the GGA-PBEsol level.

Results
- Calculated formation energy: -80 kJ/mol of atoms
- Calculated volume: 242 Å³ per cell
- Theoretical density: 8.327 Mg/m³

a = 8.8167 Å, b = 8.8167 Å, c = 3.5903 Å
α = 90.00°, β = 90.00°, γ = 120.00°
Last column: nearest neighbours and their distance in Å.
Space group P-6 (No. 174)
Unique sites:
Dy 0.0000 0.0000 0.0000 [1 per cell]  6 P 2.78, 9 Fe 2.92-3.03
Dy 0.3333 0.6667 0.5000 [1 per cell]  6 P 2.83, 12 Fe 2.93-3.11
Fe 0.0360 0.7587 0.5000 [3 per cell]  4 P 2.20-2.25, 1 Fe 2.39
Fe 0.0990 0.3823 0.0000 [3 per cell]  4 P 2.23-2.28
Fe 0.4550 0.2375 0.0000 [3 per cell]  3 P 2.24-2.42
Fe 0.5127 0.0597 0.5000 [3 per cell]  4 P 2.09-2.24
P 0.0666 0.6229 0.0000 [3 per cell]  7 Fe 2.23-2.28
P 0.2562 0.0351 0.5000 [3 per cell]  5 Fe 2.16-2.23
P 0.6667 0.3333 0.5000 [1 per cell]  3 Fe 2.09